The following is a DFT calculation (GGA+U) of a relaxed NaWO2F crystal.

Final energy in eV per atom: -4.358
DOS at the Fermi energy in states/eV/cell: 2.42

Cell: 4.0300 4.0300 3.7854 Å, 90.00 90.00 90.00°
With the nearest neighbours (Å) after each atom.
Space group P4/mmm (No. 123)
Asymmetric unit:
Na 0.0000 0.0000 0.0000  2 F 1.89, 4 O 2.01
W 0.5000 0.5000 0.5000  8 O 2.76, 4 F 2.85
O 0.0000 0.5000 0.0000  2 Na 2.01
F 0.0000 0.0000 0.5000  2 Na 1.89